(1)
Entry from Alexandria: a relaxed LaBeAsSe2 crystal (PBE).

Formation energy (no corrections) = 0.579 eV per atom
Spin magnetization = 0.91 Bohr magnetons per cell
Symmetry = P4/mmm, No. 123
Energy above the most stable polymorph in this dataset = 1.2765 eV/atom

Structure (CIF):
```
data_LaBeAsSe2
_chemical_formula_sum 'La1 Be1 As1 Se2'
_cell_length_a 5.715
_cell_length_b 5.715
_cell_length_c 5.940
_cell_angle_alpha 90.00
_cell_angle_beta 90.00
_cell_angle_gamma 90.00
_symmetry_space_group_name_H-M 'P 1'
_symmetry_Int_Tables_number 1
loop_
_symmetry_equiv_pos_as_xyz
'x,y,z'
loop_
_atom_site_label
_atom_site_type_symbol
_atom_site_fract_x
_atom_site_fract_y
_atom_site_fract_z
La1 La 0.000 0.000 0.000
Be1 Be 0.500 0.500 0.500
As1 As 0.000 0.000 0.500
Se1 Se 0.000 0.500 0.000
Se2 Se 0.500 0.000 0.000
```



(2)
Entry from Alexandria: a relaxed AuBr4 crystal (PBE).

Formation energy (no corrections) = 0.252 eV per atom
Spin magnetization = 1.72 Bohr magnetons per cell
Symmetry = Pm-3m, No. 221
Energy above the most stable polymorph in this dataset = 0.2444 eV/atom

Structure (CIF):
```
data_AuBr4
_chemical_formula_sum 'Au1 Br4'
_cell_length_a 5.301
_cell_length_b 5.301
_cell_length_c 5.301
_cell_angle_alpha 90.00
_cell_angle_beta 90.00
_cell_angle_gamma 90.00
_symmetry_space_group_name_H-M 'P 1'
_symmetry_Int_Tables_number 1
loop_
_symmetry_equiv_pos_as_xyz
'x,y,z'
loop_
_atom_site_label
_atom_site_type_symbol
_atom_site_fract_x
_atom_site_fract_y
_atom_site_fract_z
Au1 Au 0.000 0.000 0.000
Br1 Br 0.000 0.000 0.500
Br2 Br 0.000 0.500 0.000
Br3 Br 0.500 0.000 0.000
Br4 Br 0.500 0.500 0.500
```